Arrangement A

Ce2TmPb: relaxed, GGA-PBE.

It has space group R-3m (No. 166, hexagonal axes), with a = 3.4233 Å, b = 3.4233 Å, c = 36.8648 Å, α = 90.00°, β = 90.00° and γ = 120.00°. The asymmetric unit holds Ce at (0.0000, 0.0000, 0.0891), Tm at (0.0000, 0.0000, 0.5000) and Pb at (0.0000, 0.0000, 0.0000).

The calculation puts the density of states at the Fermi level at 2.5778 states/eV/atom.

Arrangement B

Ce2TmPb: relaxed, GGA-PBE.

It has space group Fm-3m (No. 225), with a = 7.8130 Å, b = 7.8130 Å, c = 7.8130 Å, α = 90.00°, β = 90.00° and γ = 90.00°. The asymmetric unit holds Ce at (0.2500, 0.2500, 0.2500), Tm at (0.0000, 0.0000, 0.0000) and Pb at (0.0000, 0.0000, 0.5000).

The calculation puts the density of states at the Fermi level at 3.6248 states/eV/atom.

Arrangement C

Ce2TmPb: relaxed, GGA-PBE.

It has space group P2_1/m (No. 11), with a = 4.4786 Å, b = 4.3731 Å, c = 11.5203 Å, α = 90.00°, β = 99.92° and γ = 90.00°. The asymmetric unit holds Ce at (0.0014, 0.2500, 0.3833), Ce at (0.3981, 0.7500, 0.3856), Tm at (0.3080, 0.2500, 0.1136) and Pb at (0.1776, 0.2500, 0.8377).

The calculation puts the density of states at the Fermi level at 1.7964 states/eV/atom.

We find arrangement C to be the most stable, with the next structure 21.7 kJ/mol of atoms higher.

Arrangement A

Ce2Tm2Pb3: relaxed, GGA-PBE.

It has space group C2/m (No. 12), with a = 12.1620 Å, b = 4.5255 Å, c = 8.3591 Å, α = 90.00°, β = 108.44° and γ = 90.00°. The asymmetric unit holds Ce at (0.1118, 0.0000, 0.2962), Tm at (0.1222, 0.5000, 0.9307), Pb at (0.0000, 0.5000, 0.5000) and Pb at (0.1932, 0.0000, 0.7134).

The calculation puts the density of states at the Fermi level at 2.4146 states/eV/atom.

Arrangement B

Ce2Tm2Pb3: relaxed, GGA-PBE.

It has space group Cmmm (No. 65), with a = 3.5075 Å, b = 32.8775 Å, c = 3.6185 Å, α = 90.00°, β = 90.00° and γ = 90.00°. The asymmetric unit holds Ce at (0.0000, 0.0701, 0.0000), Tm at (0.0000, 0.2045, 0.0000), Pb at (0.0000, 0.3595, 0.5000) and Pb at (0.0000, 0.5000, 0.5000).

The calculation puts the density of states at the Fermi level at 2.3112 states/eV/atom.

We find arrangement B to be the most stable, with the next structure 2.1 kJ/mol of atoms higher.

Arrangement A

Ce2TmPb3: relaxed, GGA-PBE.

It has space group Cmmm (No. 65), with a = 5.0736 Å, b = 15.1818 Å, c = 4.5153 Å, α = 90.00°, β = 90.00° and γ = 90.00°. The asymmetric unit holds Ce at (0.0000, 0.1659, 0.0000), Tm at (0.0000, 0.5000, 0.0000), Pb at (0.0000, 0.0000, 0.5000) and Pb at (0.0000, 0.3379, 0.5000).

The calculation puts the density of states at the Fermi level at 2.4770 states/eV/atom.

Arrangement B

Ce2TmPb3: relaxed, GGA-PBE.

It has space group C2/c (No. 15), with a = 13.8985 Å, b = 6.3741 Å, c = 9.2578 Å, α = 90.00°, β = 109.46° and γ = 90.00°. The asymmetric unit holds Ce at (0.1678, 0.0000, 0.0839), Tm at (0.0000, 0.5004, 0.2500), Pb at (0.0000, 0.0004, 0.2500) and Pb at (0.1650, 0.5000, 0.0826).

The calculation puts the density of states at the Fermi level at 1.4092 states/eV/atom.

We find arrangement A to be the most stable, with the next structure 10.1 kJ/mol of atoms higher.

Arrangement A

Ce3Tm2Pb3: relaxed, GGA-PBE.

It has space group Immm (No. 71), with a = 4.4537 Å, b = 4.9347 Å, c = 21.4590 Å, α = 90.00°, β = 90.00° and γ = 90.00°. The asymmetric unit holds Ce at (0.0000, 0.0000, 0.0000), Ce at (0.0000, 0.5000, 0.1176), Tm at (0.0000, 0.0000, 0.2481), Pb at (0.0000, 0.0000, 0.5000) and Pb at (0.0000, 0.5000, 0.3615).

The calculation puts the density of states at the Fermi level at 2.8464 states/eV/atom.

Arrangement B

Ce3Tm2Pb3: relaxed, GGA-PBE.

It has space group P6_3/mcm (No. 193), with a = 9.2124 Å, b = 9.2124 Å, c = 6.6380 Å, α = 90.00°, β = 90.00° and γ = 120.00°. The asymmetric unit holds Ce at (0.0000, 0.2363, 0.2500), Tm at (0.3333, 0.6667, 0.0000) and Pb at (0.0000, 0.4005, 0.7500).

The calculation puts the density of states at the Fermi level at 3.0456 states/eV/atom.

We find arrangement B to be the most stable, with the next structure 5.8 kJ/mol of atoms higher.

Arrangement A

Ce2YPb3: relaxed, GGA-PBE.

It has space group C2/c (No. 15), with a = 14.1495 Å, b = 6.3880 Å, c = 9.1437 Å, α = 90.00°, β = 108.85° and γ = 90.00°. The asymmetric unit holds Ce at (0.1662, 0.9999, 0.0831), Y at (0.0000, 0.4992, 0.2500), Pb at (0.0000, 0.0009, 0.7500) and Pb at (0.1680, 0.4998, 0.0840).

The calculation puts the density of states at the Fermi level at 1.3115 states/eV/atom.

Arrangement B

Ce2YPb3: relaxed, GGA-PBE.

It has space group Cmmm (No. 65), with a = 5.8544 Å, b = 17.5723 Å, c = 6.8707 Å, α = 90.00°, β = 90.00° and γ = 90.00°. The asymmetric unit holds Ce at (0.0000, 0.0000, 0.0000), Ce at (0.0000, 0.0000, 0.5000), Ce at (0.0000, 0.3343, 0.0000), Y at (0.0000, 0.3325, 0.5000), Pb at (0.0000, 0.1678, 0.2586) and Pb at (0.0000, 0.5000, 0.2576).

The calculation puts the density of states at the Fermi level at 2.0935 states/eV/atom.

We find arrangement B to be the most stable, with the next structure 8.1 kJ/mol of atoms higher.

Arrangement A

CeY2Pb: relaxed, GGA-PBE.

It has space group Fm-3m (No. 225), with a = 7.7227 Å, b = 7.7227 Å, c = 7.7227 Å, α = 90.00°, β = 90.00° and γ = 90.00°. The asymmetric unit holds Ce at (0.0000, 0.0000, 0.0000), Y at (0.2500, 0.2500, 0.2500) and Pb at (0.0000, 0.0000, 0.5000).

The calculation puts the density of states at the Fermi level at 2.4144 states/eV/atom.

Arrangement B

CeY2Pb: relaxed, GGA-PBE.

It has space group R3m (No. 160, hexagonal axes), with a = 3.5744 Å, b = 3.5744 Å, c = 33.1646 Å, α = 90.00°, β = 90.00° and γ = 120.00°. The asymmetric unit holds Ce at (0.0000, 0.0000, 0.0000), Y at (0.0000, 0.0000, 0.2460), Y at (0.0000, 0.0000, 0.4200) and Pb at (0.0000, 0.0000, 0.8332).

The calculation puts the density of states at the Fermi level at 1.7074 states/eV/atom.

Arrangement C

CeY2Pb: relaxed, GGA-PBE.

It has space group P4/mmm (No. 123), with a = 4.9591 Å, b = 4.9591 Å, c = 4.6868 Å, α = 90.00°, β = 90.00° and γ = 90.00°. The asymmetric unit holds Ce at (0.0000, 0.0000, 0.0000), Y at (0.0000, 0.5000, 0.5000) and Pb at (0.5000, 0.5000, 0.0000).

The calculation puts the density of states at the Fermi level at 2.0611 states/eV/atom.

We find arrangement C to be the most stable, with the next structure 13.3 kJ/mol of atoms higher.